Material: ZnIn2CoC
Method: DFT, PBE
State: relaxed

Geometry as POSCAR:
```
ZnIn2CoC
1.0
4.895 0.000 0.000
0.000 4.573 0.000
0.000 0.000 4.895
Zn Co C In
1 1 1 2
direct
0.000 0.500 0.000 Zn
0.000 0.000 0.000 Co
0.500 0.500 0.500 C
0.000 0.000 0.500 In
0.500 0.000 0.000 In
```

- N(E_F): 0.576 states/eV per atom
- Symmetry: No. 123
- Size of the total moment: 0.432 μB per atom
- Formation enthalpy at 0 K: 1.3578 eV per atom